A geometry-optimized AgMo2Rh structure, computed with GGA-PBE. Values from VASP.

Structure (Quantum ESPRESSO input):
```
&SYSTEM
  ibrav = 0, nat = 4, ntyp = 3
/
ATOMIC_SPECIES
Ag 107.87 Ag.upf
Mo 95.94 Mo.upf
Rh 102.91 Rh.upf
ATOMIC_POSITIONS angstrom
Ag -2.391 1.303 -0.275
Mo -4.084 7.730 -1.655
Mo -1.074 2.541 1.868
Rh -2.185 4.136 -0.885
CELL_PARAMETERS angstrom
-0.749 5.148 1.305
-3.449 2.798 -3.006
0.760 -4.155 3.305
```

density	10.24	Mg/m³
final energy	-7.5850	eV per atom
space-group type	No. 44
N(E_F)	1.015	states/eV per atom
ΔH_f (0 K)	8.79	kcal/mol of atoms
energy above the lowest structure with this stoichiometry	0.215	eV per atom